A plane-wave DFT calculation with GGA-PBE was carried out for a relaxed structure of ThCuPd.

```
12
Lattice="3.7332 0.0000 0.0000 0.0000 6.4510 -0.1030 -1.8666 -0.8811 10.5262" Properties=species:S:1:pos:R:3 pbc="T T T"
Th 0.0000 2.4845 2.5800
Th 0.0000 0.7166 9.9862
Th 1.8666 4.8533 0.4370
Th 1.8666 3.0854 7.8431
Cu 0.0000 3.7509 5.4855
Cu 1.8666 5.7193 5.9804
Cu 1.8666 1.8190 4.9376
Cu 0.0000 -0.1494 4.4427
Pd 0.0000 1.2275 6.7188
Pd 1.8666 0.3140 2.5846
Pd 1.8666 4.3424 3.7043
Pd 0.0000 5.2558 7.8386
```

Properties
DFT total energy = -69.6 eV per cell
energy above the most stable polymorph in this dataset = 28.6 kJ per mole of atoms
symmetry = C2/m (12)
formation enthalpy at 0 K = -0.23 eV per atom